1.
The following is a GGA-PBE calculation of a relaxed K2NaPCl crystal, from Alexandria via LeMat-Bulk.

The structure in POSCAR format:
```
K2NaPCl
1.0
6.130 0.000 0.000
0.000 5.380 0.000
0.000 0.000 6.130
Cl P Na K
1 1 1 2
Direct
0.500 0.500 0.500 Cl
0.000 0.000 0.000 P
0.000 0.500 0.000 Na
0.000 0.000 0.500 K
0.500 0.000 0.000 K
```

Results
N(E_F) = 0.398 states/eV/atom
Theoretical density = 1.38 g cm⁻³
E = -13.77 eV/cell
Formation energy (no corrections) = -0.5995 eV per atom



2.
The following is a GGA-PBE calculation of a relaxed K2NaPaCl8 crystal, from Alexandria via LeMat-Bulk.

The structure in POSCAR format:
```
K2NaPaCl8
1.0
-6.508 0.310 2.655
-1.677 -3.725 -5.292
1.677 -7.917 5.048
K Cl Na Pa
2 8 1 1
Direct
0.500 0.500 0.275 K
0.500 0.500 0.725 K
0.858 0.209 0.192 Cl
0.307 0.243 0.000 Cl
0.290 0.262 0.500 Cl
0.710 0.738 0.500 Cl
0.859 0.209 0.809 Cl
0.693 0.757 0.000 Cl
0.142 0.791 0.808 Cl
0.141 0.791 0.191 Cl
0.000 0.000 0.500 Na
0.000 0.000 0.000 Pa
```

Results
Theoretical density = 2.29 g cm⁻³
E = -50.03 eV/cell
Formation energy (no corrections) = -1.8543 eV per atom



3.
The following is a GGA-PBE calculation of a relaxed KNa2PaCl8 crystal, from Alexandria via LeMat-Bulk.

The structure in POSCAR format:
```
KNa2PaCl8
1.0
6.785 0.131 0.330
0.181 6.651 0.292
0.459 0.422 9.340
Cl Na Pa K
8 2 1 1
Direct
0.181 0.792 0.195 Cl
0.819 0.208 0.805 Cl
0.187 0.800 0.804 Cl
0.311 0.305 0.475 Cl
0.813 0.200 0.196 Cl
0.275 0.255 0.968 Cl
0.689 0.695 0.525 Cl
0.725 0.745 0.032 Cl
0.456 0.450 0.693 Na
0.544 0.550 0.307 Na
0.000 0.000 0.000 Pa
0.000 0.000 0.500 K
```

Results
Theoretical density = 2.37 g cm⁻³
E = -49.77 eV/cell
Formation energy (no corrections) = -1.8138 eV per atom



4.
The following is a GGA-PBE calculation of a relaxed KNaPb2Cl6 crystal, from Alexandria via LeMat-Bulk.

The structure in POSCAR format:
```
KNaPb2Cl6
1.0
7.503 0.001 0.001
3.752 6.497 0.001
3.752 2.166 6.580
Cl Pb Na K
6 2 1 1
Direct
0.612 0.229 0.239 Cl
0.718 0.150 0.749 Cl
0.920 0.612 0.239 Cl
0.229 0.920 0.239 Cl
0.383 0.718 0.748 Cl
0.150 0.383 0.749 Cl
0.011 0.012 0.965 Pb
0.517 0.517 0.448 Pb
0.316 0.316 0.053 Na
0.805 0.805 0.586 K
```

Results
N(E_F) = 0.000 states/eV/atom
Theoretical density = 3.57 g cm⁻³
E = -35.43 eV/cell
Formation energy (no corrections) = -1.4519 eV per atom



5.
The following is a GGA-PBE calculation of a relaxed KNa2PbCl8 crystal, from Alexandria via LeMat-Bulk.

The structure in POSCAR format:
```
KNa2PbCl8
1.0
-6.422 -1.120 1.565
0.721 -5.434 -1.850
2.510 -2.579 8.479
Na Cl Pb K
2 8 1 1
Direct
0.500 0.499 0.770 Na
0.500 0.501 0.230 Na
0.485 0.249 0.500 Cl
0.853 0.239 0.792 Cl
0.328 0.248 0.001 Cl
0.149 0.763 0.793 Cl
0.147 0.761 0.208 Cl
0.851 0.237 0.207 Cl
0.672 0.752 0.999 Cl
0.515 0.751 0.500 Cl
0.000 0.000 0.000 Pb
0.000 0.000 0.500 K
```

Results
N(E_F) = 0.117 states/eV/atom
Theoretical density = 2.68 g cm⁻³
E = -35.86 eV/cell
Formation energy (no corrections) = -1.1371 eV per atom



6.
The following is a GGA-PBE calculation of a relaxed KNaPbCl4 crystal, from Alexandria via LeMat-Bulk.

The structure in POSCAR format:
```
KNaPbCl4
1.0
-1.090 -0.050 -7.698
-5.531 -5.441 0.818
-5.303 5.836 2.963
Pb Na K Cl
2 2 2 8
Direct
0.177 0.250 0.535 Pb
0.823 0.750 0.465 Pb
0.703 0.250 0.669 Na
0.297 0.750 0.331 Na
0.193 0.250 0.042 K
0.807 0.750 0.958 K
0.546 0.750 0.615 Cl
0.970 0.488 0.725 Cl
0.970 0.012 0.725 Cl
0.454 0.250 0.385 Cl
0.551 0.750 0.174 Cl
0.449 0.250 0.826 Cl
0.030 0.988 0.275 Cl
0.030 0.512 0.275 Cl
```

Results
N(E_F) = 0.000 states/eV/atom
Theoretical density = 2.77 g cm⁻³
E = -48.25 eV/cell
Formation energy (no corrections) = -1.5159 eV per atom



7.
The following is a GGA-PBE calculation of a relaxed K2NaPbCl5 crystal, from Alexandria via LeMat-Bulk.

The structure in POSCAR format:
```
K2NaPbCl5
1.0
4.381 0.000 0.000
-2.190 9.049 0.000
0.000 0.000 14.180
K Na Cl Pb
4 2 10 2
Direct
0.128 0.256 0.299 K
0.872 0.744 0.799 K
0.914 0.828 0.162 K
0.086 0.172 0.662 K
0.541 0.081 0.950 Na
0.459 0.919 0.450 Na
0.265 0.529 0.669 Cl
0.501 0.003 0.272 Cl
0.702 0.403 0.895 Cl
0.499 0.997 0.772 Cl
0.931 0.861 0.555 Cl
0.384 0.768 0.994 Cl
0.735 0.471 0.169 Cl
0.069 0.139 0.055 Cl
0.298 0.597 0.395 Cl
0.616 0.232 0.494 Cl
0.225 0.451 0.027 Pb
0.775 0.549 0.527 Pb
```

Results
N(E_F) = 0.000 states/eV/atom
Theoretical density = 2.87 g cm⁻³
E = -62.55 eV/cell
Formation energy (no corrections) = -1.6464 eV per atom



8.
The following is a GGA-PBE calculation of a relaxed KNaPdCl6 crystal, from Alexandria via LeMat-Bulk.

The structure in POSCAR format:
```
KNaPdCl6
1.0
-2.507 -1.435 -6.226
4.226 -0.460 -5.388
0.784 -6.496 1.176
Cl K Pd Na
6 1 1 1
Direct
0.344 0.607 0.294 Cl
0.050 0.343 0.294 Cl
0.607 0.344 0.706 Cl
0.343 0.050 0.706 Cl
0.048 0.608 0.705 Cl
0.608 0.048 0.295 Cl
0.000 0.000 0.000 K
0.333 0.333 0.500 Pd
0.666 0.666 0.500 Na
```

Results
Theoretical density = 2.34 g cm⁻³
E = -28.06 eV/cell
Formation energy (no corrections) = -1.0411 eV per atom



9.
The following is a GGA-PBE calculation of a relaxed K2NaPdCl6 crystal, from Alexandria via LeMat-Bulk.

The structure in POSCAR format:
```
K2NaPdCl6
1.0
7.058 0.000 0.000
3.529 6.112 0.000
3.529 2.037 13.129
Cl K Pd Na
12 4 2 2
Direct
0.861 0.373 0.393 Cl
0.712 0.198 0.892 Cl
0.373 0.373 0.393 Cl
0.627 0.627 0.607 Cl
0.288 0.802 0.108 Cl
0.139 0.627 0.607 Cl
0.627 0.139 0.607 Cl
0.802 0.288 0.108 Cl
0.198 0.198 0.892 Cl
0.802 0.802 0.108 Cl
0.373 0.861 0.393 Cl
0.198 0.712 0.892 Cl
0.306 0.306 0.082 K
0.694 0.694 0.918 K
0.864 0.864 0.407 K
0.136 0.136 0.593 K
0.500 0.500 0.500 Pd
0.000 0.000 0.000 Pd
0.415 0.415 0.754 Na
0.585 0.585 0.246 Na
```

Results
N(E_F) = 0.338 states/eV/atom
Theoretical density = 2.46 g cm⁻³
E = -65.22 eV/cell
Formation energy (no corrections) = -1.2826 eV per atom



10.
The following is a GGA-PBE calculation of a relaxed K2NaPmCl6 crystal, from Alexandria via LeMat-Bulk.

The structure in POSCAR format:
```
K2NaPmCl6
1.0
-4.468 5.451 -2.261
0.921 -2.294 -7.352
-8.462 -6.275 0.898
Cl Pm Na K
12 2 2 4
Direct
0.889 0.536 0.246 Cl
0.309 0.710 0.441 Cl
0.809 0.790 0.941 Cl
0.389 0.964 0.746 Cl
0.795 0.804 0.553 Cl
0.295 0.696 0.053 Cl
0.205 0.196 0.447 Cl
0.705 0.304 0.947 Cl
0.111 0.464 0.754 Cl
0.691 0.290 0.559 Cl
0.191 0.210 0.059 Cl
0.611 0.036 0.254 Cl
0.500 0.000 0.500 Pm
0.000 0.500 0.000 Pm
0.000 0.500 0.500 Na
0.500 0.000 0.000 Na
0.025 0.930 0.255 K
0.475 0.430 0.245 K
0.975 0.070 0.745 K
0.525 0.570 0.755 K
```

Results
N(E_F) = 0.000 states/eV/atom
Theoretical density = 2.51 g cm⁻³
E = -80.46 eV/cell
Formation energy (no corrections) = -2.0887 eV per atom



11.
The following is a GGA-PBE calculation of a relaxed KNa2PrCl6 crystal, from Alexandria via LeMat-Bulk.

The structure in POSCAR format:
```
KNa2PrCl6
1.0
7.295 0.001 0.001
3.649 6.317 0.000
3.648 2.106 6.600
Cl Na Pr K
6 2 1 1
Direct
0.239 0.927 0.237 Cl
0.153 0.369 0.757 Cl
0.369 0.721 0.757 Cl
0.927 0.597 0.237 Cl
0.597 0.239 0.237 Cl
0.721 0.153 0.758 Cl
0.520 0.520 0.441 Na
0.010 0.010 0.971 Na
0.320 0.320 0.039 Pr
0.807 0.807 0.580 K
```

Results
N(E_F) = 0.000 states/eV/atom
Theoretical density = 2.40 g cm⁻³
E = -39.92 eV/cell
Formation energy (no corrections) = -2.0322 eV per atom



12.
The following is a GGA-PBE calculation of a relaxed KNaPr2Cl8 crystal, from Alexandria via LeMat-Bulk.

The structure in POSCAR format:
```
KNaPr2Cl8
1.0
6.863 0.184 -0.005
0.277 6.825 -0.008
0.006 0.010 8.718
Cl Pr K Na
8 2 1 1
Direct
0.796 0.216 0.770 Cl
0.330 0.317 0.500 Cl
0.670 0.683 0.500 Cl
0.796 0.216 0.230 Cl
0.204 0.784 0.770 Cl
0.204 0.784 0.230 Cl
0.322 0.310 0.000 Cl
0.678 0.690 0.000 Cl
0.500 0.500 0.246 Pr
0.500 0.500 0.754 Pr
0.000 0.000 0.500 K
0.000 0.000 0.000 Na
```

Results
N(E_F) = 0.000 states/eV/atom
Theoretical density = 2.55 g cm⁻³
E = -52.28 eV/cell
Formation energy (no corrections) = -2.1275 eV per atom



13.
The following is a GGA-PBE calculation of a relaxed KNa2PuCl6 crystal, from Alexandria via LeMat-Bulk.

The structure in POSCAR format:
```
KNa2PuCl6
1.0
-0.459 6.772 -2.512
-0.925 1.179 -7.080
-7.031 2.516 -2.362
Cl K Pu Na
6 1 1 2
Direct
0.239 0.934 0.239 Cl
0.934 0.588 0.239 Cl
0.718 0.153 0.759 Cl
0.370 0.718 0.759 Cl
0.153 0.370 0.759 Cl
0.588 0.239 0.239 Cl
0.808 0.808 0.577 K
0.323 0.323 0.030 Pu
0.520 0.520 0.440 Na
0.009 0.009 0.974 Na
```

Results
N(E_F) = 0.993 states/eV/atom
Theoretical density = 2.99 g cm⁻³
E = -47.97 eV/cell
Formation energy (no corrections) = -1.8828 eV per atom



14.
The following is a GGA-PBE calculation of a relaxed KNaPu2Cl8 crystal, from Alexandria via LeMat-Bulk.

The structure in POSCAR format:
```
KNaPu2Cl8
1.0
6.841 0.170 -0.005
0.264 6.674 -0.009
0.006 0.010 8.566
Cl Pu K Na
8 2 1 1
Direct
0.813 0.242 0.769 Cl
0.345 0.292 0.000 Cl
0.187 0.758 0.769 Cl
0.187 0.758 0.231 Cl
0.813 0.242 0.231 Cl
0.655 0.708 0.000 Cl
0.356 0.296 0.500 Cl
0.644 0.704 0.500 Cl
0.500 0.500 0.245 Pu
0.500 0.500 0.755 Pu
0.000 0.000 0.500 K
0.000 0.000 0.000 Na
```

Results
N(E_F) = 1.635 states/eV/atom
Theoretical density = 3.54 g cm⁻³
E = -68.59 eV/cell
Formation energy (no corrections) = -1.8950 eV per atom



15.
The following is a GGA-PBE calculation of a relaxed KRbNa2Cl4 crystal, from Alexandria via LeMat-Bulk.

The structure in POSCAR format:
```
KRbNa2Cl4
1.0
4.296 0.000 0.000
0.000 7.564 -0.188
0.000 2.624 6.973
Na Cl Rb K
2 4 1 1
Direct
0.500 0.000 0.500 Na
0.000 0.000 0.000 Na
0.000 0.785 0.732 Cl
0.500 0.780 0.245 Cl
0.500 0.220 0.755 Cl
0.000 0.215 0.268 Cl
0.500 0.500 0.000 Rb
0.000 0.500 0.500 K
```

Results
N(E_F) = 0.000 states/eV/atom
Theoretical density = 2.27 g cm⁻³
E = -26.87 eV/cell
Formation energy (no corrections) = -1.8475 eV per atom



16.
The following is a GGA-PBE calculation of a relaxed K2RbNaCl crystal, from Alexandria via LeMat-Bulk.

The structure in POSCAR format:
```
K2RbNaCl
1.0
-1.340 -5.351 3.156
1.759 -3.423 -5.058
6.243 -0.202 2.307
K Na Cl Rb
2 1 1 1
Direct
0.000 0.500 0.000 K
0.500 0.000 0.000 K
0.000 0.000 0.500 Na
0.000 0.000 0.000 Cl
0.500 0.500 0.500 Rb
```

Results
N(E_F) = 0.596 states/eV/atom
Theoretical density = 1.37 g cm⁻³
E = -9.44 eV/cell
Formation energy (no corrections) = -0.6217 eV per atom



17.
The following is a GGA-PBE calculation of a relaxed KRbNaCl3 crystal, from Alexandria via LeMat-Bulk.

The structure in POSCAR format:
```
KRbNaCl3
1.0
4.434 0.000 0.000
0.000 7.669 0.280
0.000 -2.728 10.981
Cl K Na Rb
6 2 2 2
Direct
0.250 0.777 0.481 Cl
0.750 0.044 0.170 Cl
0.750 0.559 0.175 Cl
0.250 0.441 0.825 Cl
0.750 0.223 0.519 Cl
0.250 0.956 0.830 Cl
0.750 0.237 0.948 K
0.250 0.763 0.052 K
0.750 0.870 0.361 Na
0.250 0.130 0.639 Na
0.250 0.348 0.315 Rb
0.750 0.652 0.685 Rb
```

Results
N(E_F) = 0.000 states/eV/atom
Theoretical density = 2.24 g cm⁻³
E = -40.37 eV/cell
Formation energy (no corrections) = -1.8769 eV per atom



18.
The following is a GGA-PBE calculation of a relaxed K3Rb2NaCl6 crystal, from Alexandria via LeMat-Bulk.

The structure in POSCAR format:
```
K3Rb2NaCl6
1.0
-3.664 -3.172 6.159
-2.322 -1.751 -7.278
6.682 -4.014 0.243
Cl K Rb Na
6 3 2 1
Direct
0.776 0.776 0.243 Cl
0.224 0.224 0.757 Cl
0.084 0.396 0.251 Cl
0.916 0.604 0.749 Cl
0.396 0.084 0.251 Cl
0.604 0.916 0.749 Cl
0.500 0.500 0.500 K
0.168 0.832 0.500 K
0.832 0.168 0.500 K
0.667 0.333 0.000 Rb
0.333 0.667 0.000 Rb
0.000 0.000 0.000 Na
```

Results
N(E_F) = 0.000 states/eV/atom
Theoretical density = 2.23 g cm⁻³
E = -40.49 eV/cell
Formation energy (no corrections) = -1.9055 eV per atom



19.
The following is a GGA-PBE calculation of a relaxed K2RbNaCl4 crystal, from Alexandria via LeMat-Bulk.

The structure in POSCAR format:
```
K2RbNaCl4
1.0
4.509 0.000 0.000
-2.254 7.596 0.000
0.000 0.000 15.615
Cl K Rb Na
8 4 2 2
Direct
0.000 0.000 0.500 Cl
0.452 0.903 0.750 Cl
0.739 0.477 0.875 Cl
0.739 0.477 0.625 Cl
0.000 0.000 0.000 Cl
0.261 0.523 0.125 Cl
0.548 0.097 0.250 Cl
0.261 0.523 0.375 Cl
0.631 0.262 0.455 K
0.369 0.738 0.545 K
0.369 0.738 0.955 K
0.631 0.262 0.045 K
0.877 0.754 0.250 Rb
0.123 0.246 0.750 Rb
0.144 0.287 0.250 Na
0.856 0.713 0.750 Na
```

Results
N(E_F) = 0.000 states/eV/atom
Theoretical density = 2.04 g cm⁻³
E = -53.70 eV/cell
Formation energy (no corrections) = -1.8730 eV per atom



20.
The following is a GGA-PBE calculation of a relaxed K2RbNaCl crystal, from Alexandria via LeMat-Bulk.

The structure in POSCAR format:
```
K2RbNaCl
1.0
6.321 0.000 0.000
0.000 6.321 0.000
0.000 0.000 6.655
K Rb Cl Na
2 1 1 1
Direct
0.500 0.000 0.000 K
0.000 0.500 0.000 K
0.000 0.000 0.500 Rb
0.000 0.000 0.000 Cl
0.500 0.500 0.500 Na
```

Results
N(E_F) = 0.564 states/eV/atom
Theoretical density = 1.39 g cm⁻³
E = -9.90 eV/cell
Formation energy (no corrections) = -0.7147 eV per atom